1.
This record from the Alexandria database describes LiMgBi2 after structural relaxation. The functional is PBE.

Computed properties:
Formation enthalpy at 0 K   -0.81 eV per formula unit
VASP energy   -12.1 eV per formula unit

Cell: 4.327 6.171 8.809 Å, 101.39 102.84 90.46°
Space group P-1 (No. 2)
Asymmetric unit:
Li  0.198  0.121  0.389 [2 per cell]
Mg  0.402  0.634  0.828 [2 per cell]
Bi  0.197  0.625  0.383 [2 per cell]
Bi  0.401  0.131  0.834 [2 per cell]

=====

2.
This record from the Alexandria database describes Pu2NbN4 after structural relaxation. The functional is PBE.

Computed properties:
E_form (uncorrected)   -0.9657 eV/atom
VASP energy   -78.8 eV per formula unit

Cell: 9.398 9.398 9.398 Å, 90.00 90.00 90.00°
Space group Fd-3m (No. 227, origin choice 2)
Asymmetric unit:
Pu  0.000  0.000  0.000 [16 per cell]
Nb  0.125  0.125  0.625 [8 per cell]
N  0.001  0.001  0.749 [32 per cell]

=====

3.
This record from the Alexandria database describes PrP2Pd after structural relaxation. The functional is PBE.

Computed properties:
Formation enthalpy at 0 K   -3.99 eV per formula unit
VASP energy   -24.8 eV per formula unit

Cell: 4.059 4.059 9.792 Å, 90.00 90.00 90.00°
Space group I-4m2 (No. 119)
Asymmetric unit:
Pr  0.000  0.000  0.000 [2 per cell]
P  0.000  0.000  0.386 [4 per cell]
Pd  0.000  0.500  0.750 [2 per cell]

=====

4.
This record from the Alexandria database describes Cs3Np2AgTe6 after structural relaxation. The functional is PBE.

Computed properties:
E_form (uncorrected)   -0.7312 eV/atom
VASP energy   -58.9 eV per formula unit

Cell: 7.883 13.699 9.218 Å, 90.00 106.40 90.00°
Space group C2/m (No. 12)
Asymmetric unit:
Cs  0.000  0.000  0.000 [2 per cell]
Cs  0.000  0.339  0.000 [4 per cell]
Np  0.000  0.167  0.500 [4 per cell]
Ag  0.000  0.500  0.500 [2 per cell]
Te  0.222  0.000  0.683 [4 per cell]
Te  0.234  0.328  0.688 [8 per cell]

=====

5.
This record from the Alexandria database describes KUAu2I8 after structural relaxation. The functional is PBE.

Computed properties:
E_form (uncorrected)   -0.6248 eV/atom
VASP energy   -38.8 eV per formula unit

Cell: 7.481 8.437 10.305 Å, 71.11 89.45 70.27°
Space group P-1 (No. 2)
Asymmetric unit:
K  0.000  0.000  0.000 [1 per cell]
U  0.000  0.000  0.500 [1 per cell]
Au  0.115  0.578  0.759 [2 per cell]
I  0.177  0.281  0.438 [2 per cell]
I  0.275  0.812  0.347 [2 per cell]
I  0.283  0.262  0.950 [2 per cell]
I  0.292  0.822  0.746 [2 per cell]

=====

6.
This record from the Alexandria database describes DyHRh after structural relaxation. The functional is PBE.

Computed properties:
Polymorph energy (0 for the lowest one)   184 meV per atom
VASP energy   -16.9 eV per formula unit

Cell: 9.953 3.839 6.529 Å, 90.00 130.78 90.00°
Space group Cm (No. 8)
Asymmetric unit:
Dy  0.000  0.000  0.000 [2 per cell]
Dy  0.050  0.500  0.549 [2 per cell]
H  0.274  0.000  0.821 [2 per cell]
H  0.276  0.500  0.507 [2 per cell]
Rh  0.275  0.000  0.562 [2 per cell]
Rh  0.275  0.500  0.220 [2 per cell]

=====

7.
This record from the Alexandria database describes BaPrPtO4 after structural relaxation. The functional is PBE.

Computed properties:
E_form (uncorrected)   -1.9049 eV/atom
VASP energy   -45.9 eV per formula unit

Cell: 6.554 7.408 11.204 Å, 90.00 90.00 90.00°
Space group Imma (No. 74)
Asymmetric unit:
Ba  0.000  0.250  0.188 [4 per cell]
Pr  0.000  0.000  0.500 [4 per cell]
Pt  0.250  0.250  0.750 [4 per cell]
O  0.000  0.088  0.722 [8 per cell]
O  0.202  0.250  0.441 [8 per cell]

=====

8.
This record from the Alexandria database describes Na7Hg2Pb after structural relaxation. The functional is PBE.

Computed properties:
Formation enthalpy at 0 K   -1.17 eV per formula unit
VASP energy   -14.7 eV per formula unit

Cell: 5.4309 5.4309 12.5916 Å, 90.00 90.00 120.00°
Space group P3m1 (No. 156)
Asymmetric unit:
Na  0.0000  0.0000  0.0000 [1 per cell]
Na  0.0000  0.0000  0.2488 [1 per cell]
Na  0.0000  0.0000  0.7330 [1 per cell]
Na  0.3333  0.6667  0.4023 [1 per cell]
Na  0.3333  0.6667  0.8696 [1 per cell]
Na  0.6667  0.3333  0.1234 [1 per cell]
Na  0.6667  0.3333  0.5781 [1 per cell]
Hg  0.0000  0.0000  0.4898 [1 per cell]
Hg  0.6667  0.3333  0.8553 [1 per cell]
Pb  0.3333  0.6667  0.1332 [1 per cell]

=====

9.
This record from the Alexandria database describes SiTeSe after structural relaxation. The functional is PBE.

Computed properties:
Polymorph energy (0 for the lowest one)   69 meV per atom
E_form (uncorrected)   -0.0988 eV/atom
VASP energy   -12.3 eV per formula unit

Cell: 3.6399 3.6399 7.1635 Å, 90.00 90.00 120.00°
Space group P3m1 (No. 156)
Asymmetric unit:
Si  0.0000  0.0000  0.0000 [1 per cell]
Te  0.3333  0.6667  0.2373 [1 per cell]
Se  0.6667  0.3333  0.8042 [1 per cell]

=====

10.
This record from the Alexandria database describes Rb2TmThS4 after structural relaxation. The functional is PBE.

Computed properties:
E_form (uncorrected)   -1.7345 eV/atom
VASP energy   -44.2 eV per formula unit

Cell: 7.085 4.076 8.083 Å, 90.00 106.76 90.00°
Space group P2/m (No. 10)
Asymmetric unit:
Rb  0.000  0.000  0.000 [1 per cell]
Rb  0.500  0.500  0.000 [1 per cell]
Tm  0.000  0.500  0.500 [1 per cell]
Th  0.500  0.000  0.500 [1 per cell]
S  0.225  0.000  0.692 [2 per cell]
S  0.258  0.500  0.301 [2 per cell]

=====

11.
This record from the Alexandria database describes CrSnSe2 after structural relaxation. The functional is PBE.

Computed properties:
E_form (uncorrected)   -0.2597 eV/atom
VASP energy   -21.6 eV per formula unit

Cell: 4.038 6.539 8.807 Å, 74.39 78.62 87.69°
Space group P-1 (No. 2)
Asymmetric unit:
Cr  0.203  0.078  0.443 [2 per cell]
Sn  0.310  0.843  0.913 [2 per cell]
Se  0.123  0.357  0.209 [2 per cell]
Se  0.432  0.183  0.639 [2 per cell]

=====

12.
This record from the Alexandria database describes Ce2Si2Ge after structural relaxation. The functional is PBE.

Computed properties:
Polymorph energy (0 for the lowest one)   0 meV per atom
E_form (uncorrected)   -0.6155 eV/atom
VASP energy   -30.4 eV per formula unit

Cell: 10.838 4.221 10.778 Å, 90.00 118.21 90.00°
Space group C2/m (No. 12)
Asymmetric unit:
Ce  0.110  0.000  0.409 [4 per cell]
Ce  0.209  0.500  0.144 [4 per cell]
Si  0.028  0.000  0.909 [4 per cell]
Si  0.118  0.500  0.609 [4 per cell]
Ge  0.059  0.500  0.808 [4 per cell]

=====

13.
This record from the Alexandria database describes ScZn2F after structural relaxation. The functional is PBE.

Computed properties:
Polymorph energy (0 for the lowest one)   534 meV per atom
E_form (uncorrected)   -0.3545 eV/atom
VASP energy   -12.2 eV per formula unit

Cell: 6.521 6.521 6.521 Å, 90.00 90.00 90.00°
Space group Fm-3m (No. 225)
Asymmetric unit:
Sc  0.000  0.000  0.000 [4 per cell]
Zn  0.250  0.250  0.250 [8 per cell]
F  0.000  0.000  0.500 [4 per cell]

=====

14.
This record from the Alexandria database describes SmGdIn after structural relaxation. The functional is PBE.

Computed properties:
Formation enthalpy at 0 K   -0.73 eV per formula unit
Polymorph energy (0 for the lowest one)   71 meV per atom
VASP energy   -22.3 eV per formula unit

Cell: 5.2870 5.2870 3.6514 Å, 90.00 90.00 120.00°
Space group P3m1 (No. 156)
Asymmetric unit:
Sm  0.0000  0.0000  0.0000 [1 per cell]
Gd  0.3333  0.6667  0.4276 [1 per cell]
In  0.6667  0.3333  0.6975 [1 per cell]

=====

15.
This record from the Alexandria database describes ReBiBrO4 after structural relaxation. The functional is PBE.

Computed properties:
E_form (uncorrected)   -1.2545 eV/atom
VASP energy   -46.6 eV per formula unit

Cell: 11.088 7.250 7.207 Å, 90.00 105.57 90.00°
Space group C2/m (No. 12)
Asymmetric unit:
Re  0.133  0.000  0.277 [4 per cell]
Bi  0.215  0.500  0.091 [4 per cell]
Br  0.016  0.500  0.757 [4 per cell]
O  0.030  0.000  0.772 [4 per cell]
O  0.193  0.176  0.137 [8 per cell]
O  0.214  0.000  0.521 [4 per cell]